1.
A plane-wave DFT calculation with GGA-PBE was carried out for an optimized crystal structure of AgPdAu.

Calculated values
Spin magnetization = 0.00 μB per cell
Polymorph energy (0 for the lowest one) = 2.96 kJ per mole of atoms
Theoretical density = 13.29 g/cm³

Unit cell a=4.6081 b=4.6081 c=2.7948 alpha=90.00 beta=90.00 gamma=120.00
Last column: nearest neighbours and their distance in Å.
Space group P3m1 (No. 156)
Symmetry-distinct sites (fractional):
Ag (0.0000, 0.0000, 0.0000)  2 Ag 2.79, 3 Pd 2.81, 3 Au 2.81
Pd (0.6667, 0.3333, 0.3216)  2 Pd 2.79, 3 Ag 2.81, 3 Au 2.84
Au (0.3333, 0.6667, 0.6759)  2 Au 2.79, 3 Ag 2.81, 3 Pd 2.84

***

2.
A plane-wave DFT calculation with GGA-PBE was carried out for an optimized crystal structure of Ag3PdAu.

Calculated values
Spin magnetization = 0.00 μB per cell
Polymorph energy (0 for the lowest one) = 68.09 kJ per mole of atoms
Theoretical density = 8.21 g/cm³

Unit cell a=5.0244 b=5.0244 c=5.0244 alpha=90.00 beta=90.00 gamma=90.00
Last column: nearest neighbours and their distance in Å.
Space group Pm-3m (No. 221)
Symmetry-distinct sites (fractional):
Ag (0.0000, 0.0000, 0.5000)  2 Pd 2.51
Pd (0.0000, 0.0000, 0.0000)  6 Ag 2.51
Au (0.5000, 0.5000, 0.5000)  12 Ag 3.55

***

3.
A plane-wave DFT calculation with GGA-PBE was carried out for an optimized crystal structure of Ag12PdAu7.

Calculated values
Spin magnetization = 0.00 μB per cell
Theoretical density = 12.54 g/cm³

Unit cell a=11.6227 b=11.6227 c=9.4372 alpha=90.00 beta=90.00 gamma=120.00
Last column: nearest neighbours and their distance in Å.
Space group R-3 (No. 148, hexagonal axes)
Symmetry-distinct sites (fractional):
Ag (0.0116, 0.2551, 0.0161)  4 Au 2.81-2.90, 6 Ag 2.88-3.07
Ag (0.0601, 0.1690, 0.7473)  6 Ag 2.88-3.07, 1 Pd 2.90, 5 Au 2.93-3.16
Pd (0.0000, 0.0000, 0.5000)  6 Au 2.80, 6 Ag 2.90
Au (0.0000, 0.0000, 0.0000)  12 Ag 2.90-2.94
Au (0.0601, 0.5008, 0.1246)  3 Au 2.73-2.88, 1 Pd 2.80, 5 Ag 2.81-3.05

***

4.
A plane-wave DFT calculation with GGA-PBE was carried out for an optimized crystal structure of Ag2Pd5Au2.

Calculated values
Spin magnetization = 0.00 μB per cell
Polymorph energy (0 for the lowest one) = 9.10 kJ per mole of atoms
Theoretical density = 12.53 g/cm³

Unit cell a=8.2292 b=4.6168 c=7.9642 alpha=90.00 beta=90.00 gamma=90.00
Last column: nearest neighbours and their distance in Å.
Space group Amm2 (No. 38)
Symmetry-distinct sites (fractional):
Ag (0.1708, 0.0000, 0.0000)  4 Pd 2.66-2.71, 1 Ag 2.81
Pd (0.1640, 0.0000, 0.3338)  3 Ag 2.66, 1 Pd 2.70, 2 Au 2.77-2.98
Pd (0.3356, 0.0000, 0.6667)  7 Pd 2.71-3.02, 4 Au 2.76-2.99, 3 Ag 2.98-2.99
Pd (0.5000, 0.0000, 0.9997)  3 Au 2.66, 2 Ag 2.71, 2 Pd 2.98
Au (0.0000, 0.0000, 0.6670)  8 Pd 2.76-2.99, 6 Ag 3.00-3.01
Au (0.5000, 0.0000, 0.3336)  7 Pd 2.66-2.98

***

no.,ΔH_f (0 K) (eV per atom)
1,-0.03
2,0.84
3,0.01
4,0.04